Entry 1:
VASP calculation (PBE-GGA) on a relaxed Cd2InCl4 crystal.

Summary:
E: -36.2 eV for the cell shown

Cell: 7.8254 9.3638 7.8286 Å, 64.42 61.99 90.70°
Fractional positions:
In (0.3955, 0.7760, 0.5999)
In (0.1229, 0.9724, 0.1327)
Cl (0.6969, 0.5653, 0.5433)
Cl (0.8746, 0.1943, 0.6487)
Cl (0.6576, 0.5558, 0.0696)
Cl (0.3916, 0.2068, 0.1285)
Cl (0.1648, 0.5443, 0.5637)
Cl (0.1483, 0.5582, 0.0893)
Cl (0.8532, 0.1923, 0.1590)
Cl (0.3907, 0.1845, 0.6185)
Cd (0.7651, 0.3744, 0.3600)
Cd (0.9930, 0.8753, 0.6330)
Cd (0.2702, 0.3706, 0.3535)
Cd (0.7757, 0.3798, 0.8504)

---

Entry 2:
VASP calculation (PBE-GGA) on a relaxed ZnRh2Br crystal.

Summary:
Distance to the lowest polymorph of the same formula: 91 meV/atom

Cell: 3.0931 3.0931 6.5711 Å, 90.00 90.00 90.00°
Fractional positions:
Br (0.5000, 0.5000, 0.7500)
Rh (0.0000, 0.0000, 0.4740)
Rh (0.0000, 0.0000, 0.0260)
Zn (0.5000, 0.5000, 0.2500)

---

Entry 3:
VASP calculation (PBE-GGA) on a relaxed GeSbMo3 crystal.

Summary:
Distance to the lowest polymorph of the same formula: 0 meV/atom

Cell: 4.6417 4.6417 4.6417 Å, 90.00 90.00 90.00°
Fractional positions:
Ge (0.0000, 0.0000, 0.0000)
Mo (0.0000, 0.5000, 0.0000)
Mo (0.5000, 0.0000, 0.0000)
Mo (0.0000, 0.0000, 0.5000)
Sb (0.5000, 0.5000, 0.5000)

---

Entry 4:
VASP calculation (PBE-GGA) on a relaxed Ce3TiAl2O9 crystal.

Summary:
E: -124.8 eV for the cell shown

Cell: 5.4264 5.4264 6.6572 Å, 90.00 90.00 120.00°
Each line ends with the local moment (μB).
Fractional positions:
Ce (0.6667, 0.3333, 0.3323)  1.08
Ce (0.0000, 0.0000, 0.0000)  1.06
Ce (0.3333, 0.6667, 0.6677)  1.08
O (0.3417, 0.1708, 0.6727)  -0.01
O (0.5000, 0.0000, 0.0000)  -0.01
O (0.1708, 0.3417, 0.3273)  -0.01
O (0.8292, 0.6583, 0.6727)  -0.01
O (0.5000, 0.5000, 0.0000)  -0.01
O (0.6583, 0.8292, 0.3273)  -0.01
O (0.8292, 0.1708, 0.6727)  -0.01
O (0.0000, 0.5000, 0.0000)  -0.01
O (0.1708, 0.8292, 0.3273)  -0.01
Al (0.3333, 0.6667, 0.1599)  0.00
Al (0.6667, 0.3333, 0.8401)  0.00
Ti (0.0000, 0.0000, 0.5000)  0.51

---

Entry 5:
VASP calculation (PBE-GGA) on a relaxed ScFe crystal.

Summary:
Formation energy from the elements: 0.26 eV/atom

Cell: 3.0640 8.8764 3.0640 Å, 90.00 120.00 99.94°
Each line ends with the local moment (μB).
Fractional positions:
Sc (0.0278, 0.5417, 0.5139)  -0.28
Sc (0.4722, 0.2083, 0.7361)  -0.28
Fe (0.5196, 0.7795, 0.2598)  2.40
Fe (0.9804, 0.9705, 0.9902)  2.40

---

Entry 6:
VASP calculation (PBE-GGA) on a relaxed CdGaIO6 crystal.

Summary:
E: -87.1 eV for the cell shown

Cell: 5.1706 5.1706 9.8429 Å, 90.00 90.00 120.00°
Fractional positions:
O (0.3766, 0.3628, 0.3592)
O (0.3628, 0.3766, 0.8592)
O (0.3766, 0.0138, 0.1408)
O (0.6372, 0.6234, 0.1408)
O (0.9862, 0.3628, 0.1408)
O (0.0138, 0.3766, 0.6408)
O (0.6234, 0.9862, 0.8592)
O (0.6372, 0.0138, 0.3592)
O (0.9862, 0.6234, 0.3592)
O (0.0138, 0.6372, 0.8592)
O (0.3628, 0.9862, 0.6408)
O (0.6234, 0.6372, 0.6408)
I (0.3333, 0.6667, 0.7500)
I (0.6667, 0.3333, 0.2500)
Ga (0.6667, 0.3333, 0.7500)
Ga (0.3333, 0.6667, 0.2500)
Cd (0.0000, 0.0000, 0.0000)
Cd (0.0000, 0.0000, 0.5000)

---

Entry 7:
VASP calculation (PBE-GGA) on a relaxed AsRhSe2 crystal.

Summary:
E: -37.3 eV for the cell shown

Cell: 5.8892 5.8892 7.0981 Å, 65.49 65.49 90.00°
Fractional positions:
Se (0.8750, 0.9114, 0.7500)
Se (0.0886, 0.6250, 0.2500)
Se (0.6614, 0.1250, 0.2500)
Se (0.3750, 0.3386, 0.7500)
As (0.5000, 0.5000, 0.0000)
As (0.2500, 0.7500, 0.5000)
Rh (0.7500, 0.2500, 0.5000)
Rh (0.0000, 0.0000, 0.0000)

---

Entry 8:
VASP calculation (PBE-GGA) on a relaxed La2Sm3Dy3 crystal.

Summary:
Distance to the lowest polymorph of the same formula: 100 meV/atom
Formation energy from the elements: 0.12 eV/atom

Cell: 3.6255 9.0301 17.1402 Å, 90.00 90.00 101.58°
Fractional positions:
Dy (0.0043, 0.0086, 0.1006)
Dy (0.4200, 0.8400, 0.7500)
Dy (0.0043, 0.0086, 0.3994)
Dy (0.5800, 0.1600, 0.2500)
Dy (0.9957, 0.9914, 0.6006)
Dy (0.9957, 0.9914, 0.8994)
Sm (0.6064, 0.2127, 0.7500)
Sm (0.3936, 0.7873, 0.2500)
Sm (0.6453, 0.2906, 0.5112)
Sm (0.6453, 0.2906, 0.9888)
Sm (0.3547, 0.7094, 0.4888)
Sm (0.3547, 0.7094, 0.0112)
La (0.2220, 0.4440, 0.3485)
La (0.7780, 0.5560, 0.6515)
La (0.7780, 0.5560, 0.8485)
La (0.2220, 0.4440, 0.1515)

---

Entry 9:
VASP calculation (PBE-GGA) on a relaxed Ca2LaSnF crystal.

Summary:
E: -16.5 eV for the cell shown

Cell: 6.3322 6.3322 4.5134 Å, 90.00 90.00 90.00°
Each line ends with the local moment (μB).
Fractional positions:
Ca (0.5000, 0.0000, 0.0000)  0.08
Ca (0.0000, 0.5000, 0.0000)  0.08
La (0.5000, 0.5000, 0.5000)  0.43
Sn (0.0000, 0.0000, 0.0000)  0.01
F (0.0000, 0.0000, 0.5000)  0.01

---

Entry 10:
VASP calculation (PBE-GGA) on a relaxed CuSi2Sb crystal.

Summary:
E: -17.2 eV for the cell shown

Cell: 4.9570 4.9570 4.9570 Å, 136.63 114.55 81.80°
Fractional positions:
Cu (0.5322, 0.5322, 0.0000)
Si (0.9600, 0.9600, 0.0000)
Si (0.7458, 0.2458, 0.5000)
Sb (0.2620, 0.7620, 0.5000)

---

Entry 11:
VASP calculation (PBE-GGA) on a relaxed Sb2S3O12 crystal.

Summary:
Distance to the lowest polymorph of the same formula: 11 meV/atom

Cell: 9.1027 9.1027 9.1027 Å, 61.31 61.31 61.31°
Fractional positions:
O (0.4420, 0.9428, 0.1974)
O (0.0572, 0.8026, 0.5580)
O (0.1074, 0.8997, 0.2403)
O (0.8026, 0.5580, 0.0572)
O (0.3997, 0.6074, 0.7403)
O (0.8997, 0.2403, 0.1074)
O (0.1003, 0.7597, 0.8926)
O (0.2597, 0.6003, 0.3926)
O (0.3026, 0.5572, 0.0580)
O (0.6003, 0.3926, 0.2597)
O (0.0580, 0.3026, 0.5572)
O (0.4428, 0.9420, 0.6974)
O (0.7597, 0.8926, 0.1003)
O (0.9428, 0.1974, 0.4420)
O (0.3926, 0.2597, 0.6003)
O (0.7403, 0.3997, 0.6074)
O (0.5572, 0.0580, 0.3026)
O (0.2403, 0.1074, 0.8997)
O (0.6074, 0.7403, 0.3997)
O (0.1974, 0.4420, 0.9428)
O (0.5580, 0.0572, 0.8026)
O (0.9420, 0.6974, 0.4428)
O (0.6974, 0.4428, 0.9420)
O (0.8926, 0.1003, 0.7597)
S (0.7500, 0.4162, 0.0838)
S (0.9162, 0.2500, 0.5838)
S (0.2500, 0.5838, 0.9162)
S (0.5838, 0.9162, 0.2500)
S (0.4162, 0.0838, 0.7500)
S (0.0838, 0.7500, 0.4162)
Sb (0.1446, 0.1446, 0.1446)
Sb (0.8554, 0.8554, 0.8554)
Sb (0.3554, 0.3554, 0.3554)
Sb (0.6446, 0.6446, 0.6446)

---

Entry 12:
VASP calculation (PBE-GGA) on a relaxed CsLi2Pd2 crystal.

Summary:
Distance to the lowest polymorph of the same formula: 16 meV/atom
Formation energy from the elements: -0.01 eV/atom

Cell: 4.7221 4.7221 6.2060 Å, 67.64 67.64 90.00°
Fractional positions:
Pd (0.6298, 0.6298, 0.7405)
Pd (0.3702, 0.3702, 0.2595)
Li (0.2500, 0.7500, 0.5000)
Li (0.7500, 0.2500, 0.5000)
Cs (0.0000, 0.0000, 0.0000)

---

Entry 13:
VASP calculation (PBE-GGA) on a relaxed Ce4Th2Sn3 crystal.

Summary:
Formation energy from the elements: -0.24 eV/atom

Cell: 3.8751 8.6450 8.6450 Å, 120.00 90.00 90.00°
Each line ends with the local moment (μB).
Fractional positions:
Ce (0.0000, 0.2382, 0.2382)  0.38
Ce (0.0000, 0.7618, 0.0000)  0.38
Ce (0.0000, 0.0000, 0.7618)  0.38
Ce (0.5000, 0.0000, 0.0000)  0.30
Th (0.0000, 0.3333, 0.6667)  0.11
Th (0.0000, 0.6667, 0.3333)  0.11
Sn (0.5000, 0.6151, 0.6151)  -0.01
Sn (0.5000, 0.0000, 0.3849)  -0.01
Sn (0.5000, 0.3849, 0.0000)  -0.01

---

Entry 14:
VASP calculation (PBE-GGA) on a relaxed KBiC3 crystal.

Summary:
Distance to the lowest polymorph of the same formula: 1024 meV/atom
Formation energy from the elements: 3.87 eV/atom

Cell: 4.6508 4.6508 4.6508 Å, 90.00 90.00 90.00°
Each line ends with the local moment (μB).
Fractional positions:
C (0.0000, 0.0000, 0.5000)  0.51
C (0.0000, 0.5000, 0.0000)  0.72
C (0.5000, 0.0000, 0.0000)  0.73
K (0.0000, 0.0000, 0.0000)  0.18
Bi (0.5000, 0.5000, 0.5000)  -0.27

---

Entry 15:
VASP calculation (PBE-GGA) on a relaxed Cr3SbPb crystal.

Summary:
Distance to the lowest polymorph of the same formula: 302 meV/atom

Cell: 5.1356 5.1356 5.1356 Å, 90.00 90.00 90.00°
Each line ends with the local moment (μB).
Fractional positions:
Sb (0.5000, 0.5000, 0.5000)  -0.30
Cr (0.0000, 0.0000, 0.5000)  3.87
Cr (0.0000, 0.5000, 0.0000)  3.65
Cr (0.5000, 0.0000, 0.0000)  3.51
Pb (0.0000, 0.0000, 0.0000)  -0.20

---

Entry 16:
VASP calculation (PBE-GGA) on a relaxed InPbCl2 crystal.

Summary:
Distance to the lowest polymorph of the same formula: 39 meV/atom

Cell: 3.6823 3.6823 9.2016 Å, 90.00 90.00 114.83°
Fractional positions:
Cl (0.0000, 0.0000, 0.5018)
Cl (0.0000, 0.0000, 0.9982)
Pb (0.5000, 0.5000, 0.7500)
In (0.5000, 0.5000, 0.2500)

---

Entry 17:
VASP calculation (PBE-GGA) on a relaxed KAl2Ga4Au crystal.

Summary:
Formation energy from the elements: -0.01 eV/atom

Cell: 4.5440 4.5440 10.4546 Å, 77.45 77.45 60.00°
Fractional positions:
Ga (0.5909, 0.5909, 0.2273)
Ga (0.4091, 0.4091, 0.7727)
Ga (0.1304, 0.1304, 0.6087)
Ga (0.8696, 0.8696, 0.3913)
K (0.0000, 0.0000, 0.0000)
Al (0.2353, 0.2353, 0.2942)
Al (0.7647, 0.7647, 0.7058)
Au (0.5000, 0.5000, 0.5000)

---

Entry 18:
VASP calculation (PBE-GGA) on a relaxed Tm3B2Ir7 crystal.

Summary:
Formation energy from the elements: -0.75 eV/atom

Cell: 5.3910 5.3910 8.1236 Å, 70.62 70.62 60.00°
Fractional positions:
Tm (0.8565, 0.8565, 0.4306)
Tm (0.1435, 0.1435, 0.5694)
Tm (0.0000, 0.0000, 0.0000)
Ir (0.5707, 0.5707, 0.7903)
Ir (0.0683, 0.5707, 0.7903)
Ir (0.5000, 0.5000, 0.5000)
Ir (0.9317, 0.4293, 0.2097)
Ir (0.5707, 0.0683, 0.7903)
Ir (0.4293, 0.4293, 0.2097)
Ir (0.4293, 0.9317, 0.2097)
B (0.6643, 0.6643, 0.0072)
B (0.3357, 0.3357, 0.9928)

---

Entry 19:
VASP calculation (PBE-GGA) on a relaxed MnHg2Rh crystal.

Summary:
Distance to the lowest polymorph of the same formula: 217 meV/atom
Formation energy from the elements: 0.31 eV/atom

Cell: 9.0619 9.0619 9.0619 Å, 19.50 19.50 19.50°
Each line ends with the local moment (μB).
Fractional positions:
Hg (0.4995, 0.4995, 0.4995)  -0.02
Hg (0.0005, 0.0005, 0.0005)  -0.02
Mn (0.2500, 0.2500, 0.2500)  3.72
Rh (0.7500, 0.7500, 0.7500)  -0.14

---

Entry 20:
VASP calculation (PBE-GGA) on a relaxed Pr5Os2Br2 crystal.

Summary:
E: -109.8 eV for the cell shown

Cell: 8.1429 8.1246 9.0707 Å, 90.00 63.33 90.00°
Fractional positions:
Pr (0.0453, 0.6538, 0.2215)
Pr (0.5000, 0.5000, 0.0000)
Pr (0.4547, 0.1538, 0.7785)
Pr (0.0000, 0.0000, 0.0000)
Pr (0.2668, 0.6538, 0.7785)
Pr (0.2332, 0.1538, 0.2215)
Pr (0.9547, 0.3462, 0.7785)
Pr (0.7668, 0.8462, 0.7785)
Pr (0.5453, 0.8462, 0.2215)
Pr (0.7332, 0.3462, 0.2215)
Br (0.2101, 0.0000, 0.5797)
Br (0.2899, 0.5000, 0.4203)
Br (0.7101, 0.5000, 0.5797)
Br (0.7899, 0.0000, 0.4203)
Os (0.8601, 0.6402, 0.0000)
Os (0.6399, 0.1402, 0.0000)
Os (0.1399, 0.3598, 0.0000)
Os (0.3601, 0.8598, 0.0000)

---

Entry 21:
VASP calculation (PBE-GGA) on a relaxed Nb2Zn2Br crystal.

Summary:
Distance to the lowest polymorph of the same formula: 219 meV/atom

Cell: 3.6614 3.6614 7.3465 Å, 75.57 75.57 90.00°
Fractional positions:
Br (0.0000, 0.0000, 0.0000)
Zn (0.2500, 0.7500, 0.5000)
Zn (0.7500, 0.2500, 0.5000)
Nb (0.4045, 0.4045, 0.1909)
Nb (0.5955, 0.5955, 0.8091)

---

Entry 22:
VASP calculation (PBE-GGA) on a relaxed Y2Ho2Cd crystal.

Summary:
Formation energy from the elements: 0.06 eV/atom

Cell: 5.0751 5.0751 12.9681 Å, 101.28 101.28 90.00°
Fractional positions:
Y (0.6744, 0.6744, 0.3489)
Y (0.4244, 0.9244, 0.8489)
Y (0.0756, 0.5756, 0.1511)
Y (0.3256, 0.3256, 0.6511)
Ho (0.8239, 0.8239, 0.6477)
Ho (0.9261, 0.4261, 0.8523)
Ho (0.5739, 0.0739, 0.1477)
Ho (0.1761, 0.1761, 0.3523)
Cd (0.5000, 0.5000, 0.0000)
Cd (0.2500, 0.7500, 0.5000)